Entry 1:
Entry from Alexandria via LeMat-Bulk: Tl2BiRhI after structural relaxation (PBE).

## Properties
Fermi-level density of states, states/eV per cell: 3.410
Total DFT energy (no corrections), eV/atom: -3.64
Energy relative to the lowest polymorph listed for this composition, kJ/mol of formula units: 0
Formation energy from raw total energies, kJ per mole of atoms: -13.3

abc: 5.4210 5.4210 5.2987
angles: 90.00 90.00 90.00
Closest atoms and distances in Å follow each position.
Fractional positions:
Tl: 0.0000 0.5000 0.0000  2 Rh 2.71
Tl: 0.5000 0.0000 0.0000  2 Rh 2.71
Bi: 0.0000 0.0000 0.5000  2 Rh 2.65
Rh: 0.0000 0.0000 0.0000  2 Bi 2.65, 4 Tl 2.71
I: 0.5000 0.5000 0.5000  8 Tl 3.79, 4 Bi 3.83

***

Entry 2:
Entry from Alexandria via LeMat-Bulk: Tl2BiRhI after structural relaxation (PBE).

## Properties
Fermi-level density of states, states/eV per cell: 6.293
Total DFT energy (no corrections), eV/atom: -2.83
Energy relative to the lowest polymorph listed for this composition, kJ/mol of formula units: 393
Formation energy from raw total energies, kJ per mole of atoms: 65.2

abc: 6.2866 6.2866 4.8613
angles: 90.00 90.00 90.00
Closest atoms and distances in Å follow each position.
Fractional positions:
Tl: 0.0000 0.5000 0.0000  2 I 3.14
Tl: 0.5000 0.0000 0.0000  2 I 3.14
Bi: 0.0000 0.0000 0.5000  8 Tl 3.97, 4 Rh 4.45
Rh: 0.5000 0.5000 0.5000  2 I 2.43
I: 0.5000 0.5000 0.0000  2 Rh 2.43